Entry 1:
A plane-wave DFT calculation with PBE was carried out for a geometry-optimized BaYP2Br structure.

Values from the calculation:
Formation energy from raw total energies ... 0.468 eV per atom
Final energy ... -3.71 eV/atom
Crystal system ... tetragonal
ρ ... 3.9 g cm⁻³

Unit cell a=5.272 b=5.272 c=5.622 alpha=90.00 beta=90.00 gamma=90.00
Space group P4/mmm (No. 123)
Symmetry-distinct sites (fractional):
Ba 0.000 0.000 0.000 [1 per cell]
Y 0.500 0.500 0.000 [1 per cell]
P 0.000 0.500 0.500 [2 per cell]
Br 0.000 0.000 0.500 [1 per cell]

---

Entry 2:
A plane-wave DFT calculation with PBE was carried out for a geometry-optimized ZnAgRu structure.

Values from the calculation:
Final energy ... -4.23 eV/atom
Crystal system ... tetragonal
ρ ... 9.9 g cm⁻³
Energy of formation ... 0.701 eV per formula unit

Unit cell a=2.772 b=2.772 c=11.979 alpha=90.00 beta=90.00 gamma=90.00
Space group I4mm (No. 107)
Symmetry-distinct sites (fractional):
Zn 0.000 0.000 0.000 [2 per cell]
Ag 0.000 0.000 0.330 [2 per cell]
Ru 0.000 0.000 0.651 [2 per cell]

---

Entry 3:
A plane-wave DFT calculation with PBE was carried out for a geometry-optimized MgOsW2 structure.

Values from the calculation:
Final energy ... -9.34 eV/atom
Crystal system ... tetragonal
ρ ... 15.0 g cm⁻³
Energy of formation ... 1.384 eV per formula unit

Unit cell a=3.132 b=3.132 c=6.577 alpha=90.00 beta=90.00 gamma=90.00
Space group P4mm (No. 99)
Symmetry-distinct sites (fractional):
Mg 0.000 0.000 0.000 [1 per cell]
Os 0.500 0.500 0.255 [1 per cell]
W 0.000 0.000 0.481 [1 per cell]
W 0.500 0.500 0.725 [1 per cell]